1.
Computed, not measured: an optimized crystal structure of PaBeSn at the PBE level of DFT.

## Properties
The formation energy comes out at -77 meV per atom. As for the crystal system: hexagonal.

a = 4.239 Å, b = 4.142 Å, c = 4.142 Å
α = 120.00°, β = 90.00°, γ = 90.00°
Fractional positions:
1 Be 0.166 0.333 0.667
2 Pa 0.667 0.667 0.333
3 Sn 0.167 0.000 0.000

=====

2.
Computed, not measured: an optimized crystal structure of MgFeCl2 at the PBE level of DFT.

## Properties
The total energy comes out at -3.827 eV/atom. As for the crystal system: orthorhombic.

a = 6.033 Å, b = 6.033 Å, c = 6.033 Å
α = 149.08°, β = 109.90°, γ = 78.56°
Fractional positions:
1 Cl 0.061 0.061 0.000
2 Cl 0.684 0.184 0.500
3 Fe 0.505 0.505 0.000
4 Mg 0.250 0.750 0.500

=====

3.
Computed, not measured: an optimized crystal structure of LaNb3Ge at the PBE level of DFT.

## Properties
The formation energy comes out at 1849 meV per atom. As for the crystal system: cubic.

a = 4.926 Å, b = 4.926 Å, c = 4.926 Å
α = 90.00°, β = 90.00°, γ = 90.00°
Fractional positions:
1 Nb 0.000 0.500 0.000
2 Nb 0.000 0.000 0.500
3 Nb 0.500 0.000 0.000
4 Ge 0.500 0.500 0.500
5 La 0.000 0.000 0.000

=====

4.
Computed, not measured: an optimized crystal structure of NaTiCd2O4 at the PBE level of DFT.

## Properties
The total energy comes out at -5.650 eV/atom. As for the crystal system: tetragonal.

a = 5.116 Å, b = 5.116 Å, c = 6.124 Å
α = 114.69°, β = 114.69°, γ = 90.01°
Fractional positions:
1 Na 0.000 0.000 0.000
2 Ti 0.500 0.500 0.000
3 Cd 0.750 0.250 0.500
4 Cd 0.250 0.750 0.500
5 O 0.599 0.599 0.782
6 O 0.401 0.817 0.218
7 O 0.817 0.401 0.218
8 O 0.183 0.183 0.782

=====

5.
Computed, not measured: an optimized crystal structure of Y6C2Br3N at the PBE level of DFT.

## Properties
The total energy comes out at -6.998 eV/atom. As for the crystal system: monoclinic.

a = 6.364 Å, b = 6.364 Å, c = 7.390 Å
α = 98.25°, β = 98.25°, γ = 120.00°
Fractional positions:
1 Y 0.941 0.609 0.823
2 Y 0.727 0.727 0.177
3 Y 0.059 0.391 0.177
4 Y 0.609 0.941 0.823
5 Y 0.273 0.273 0.823
6 Y 0.391 0.059 0.177
7 C 0.333 0.667 0.000
8 C 0.667 0.333 0.000
9 Br 0.167 0.833 0.500
10 Br 0.833 0.167 0.500
11 Br 0.500 0.500 0.500
12 N 0.000 0.000 0.000

=====

6.
Computed, not measured: an optimized crystal structure of Na2AgIO at the PBE level of DFT.

## Properties
The total energy comes out at -3.314 eV/atom. As for the crystal system: tetragonal.

a = 4.944 Å, b = 4.944 Å, c = 4.342 Å
α = 90.00°, β = 90.00°, γ = 90.00°
Fractional positions:
1 I 0.500 0.500 0.500
2 Na 0.000 0.500 0.000
3 Na 0.500 0.000 0.000
4 O 0.000 0.000 0.000
5 Ag 0.000 0.000 0.500

=====

7.
Computed, not measured: an optimized crystal structure of Fe2AsOs at the PBE level of DFT.

## Properties
The formation energy comes out at 215 meV per atom. As for the crystal system: orthorhombic.

a = 4.950 Å, b = 4.950 Å, c = 4.950 Å
α = 145.88°, β = 129.33°, γ = 62.50°
Fractional positions:
1 As 0.250 0.750 0.500
2 Fe 0.015 0.015 0.000
3 Fe 0.485 0.485 0.000
4 Os 0.750 0.250 0.500

=====

8.
Computed, not measured: an optimized crystal structure of Ac2TbMnSe5 at the PBE level of DFT.

## Properties
The total energy comes out at -6.038 eV/atom. As for the crystal system: orthorhombic.

a = 4.247 Å, b = 9.148 Å, c = 12.852 Å
α = 90.00°, β = 90.00°, γ = 103.42°
Fractional positions:
1 Ac 0.878 0.757 0.839
2 Ac 0.122 0.245 0.695
3 Ac 0.122 0.243 0.339
4 Ac 0.878 0.755 0.195
5 Tb 0.816 0.632 0.520
6 Tb 0.184 0.368 0.020
7 Mn 0.555 0.111 0.932
8 Mn 0.445 0.889 0.432
9 Se 0.346 0.692 0.016
10 Se 0.692 0.383 0.864
11 Se 0.497 0.994 0.758
12 Se 0.304 0.607 0.677
13 Se 0.978 0.956 0.524
14 Se 0.654 0.308 0.516
15 Se 0.308 0.617 0.364
16 Se 0.503 0.006 0.258
17 Se 0.696 0.393 0.177
18 Se 0.022 0.044 0.024